# MgCo2O4

A relaxed structure of MgCo2O4 (PBE with a Hubbard U, the Alexandria database).

```
14
Lattice="5.778 0.000 0.000 2.889 5.004 0.000 2.889 1.668 4.718" Properties=species:S:1:pos:R:3 pbc="T T T"
O 5.778 3.336 4.325
O 7.062 5.931 4.194
O 8.667 5.004 1.572
O 7.384 2.409 1.704
O 4.173 2.409 1.704
O 8.667 3.150 4.194
O 10.273 5.931 4.194
O 5.778 5.190 1.704
Co 1.445 0.834 0.590
Co 2.889 1.668 2.949
Co 2.889 3.336 0.590
Co 4.334 0.834 0.590
Mg 8.667 5.004 3.538
Mg 5.778 3.336 2.359
```

Results
- space group = Fd-3m, No. 227
- VASP energy (eV/atom) = -6.0234
- density of states at the Fermi level (states/eV per atom) = 0.00